Entry from the Alexandria database: MnFe2CoAu after structural relaxation (GGA-PBE).

Lattice parameters (Å, degrees): 4.193 4.193 4.201 90.00 90.00 90.00
Fractional positions:
Mn 0.000 0.000 0.000
Fe 0.000 0.500 0.000
Fe 0.500 0.000 0.000
Co 0.000 0.000 0.500
Au 0.500 0.500 0.500

## Properties
- magnetization (μB/atom) = 0.76
- theoretical density (g/cm3) = 9.50
- formation energy (eV/atom) = 1.059
- energy above the most stable polymorph in this dataset (eV/atom) = 0.212

---

Entry from the Alexandria database: Li2CaTa after structural relaxation (GGA-PBE).

Lattice parameters (Å, degrees): 5.369 5.369 5.953 93.60 93.60 30.42
Fractional positions:
Li 0.244 0.244 0.209
Li 0.756 0.756 0.791
Ca 0.000 0.000 0.500
Ta 0.500 0.500 0.000

## Properties
- magnetization (μB/atom) = 0.00
- theoretical density (g/cm3) = 4.50
- formation energy (eV/atom) = 0.595
- energy above the most stable polymorph in this dataset (eV/atom) = 0.146

---

Entry from the Alexandria database: NpTlAu after structural relaxation (GGA-PBE).

Lattice parameters (Å, degrees): 8.077 8.077 6.217 112.53 112.53 21.93
Fractional positions:
Np 0.000 0.000 0.193
Np 0.000 0.000 0.807
Tl 0.308 0.308 0.808
Tl 0.692 0.692 0.192
Au 0.371 0.371 0.372
Au 0.629 0.629 0.628

## Properties
- magnetization (μB/atom) = 0.99
- theoretical density (g/cm3) = 15.20
- formation energy (eV/atom) = 0.086

---

Entry from the Alexandria database: Fe2Rh after structural relaxation (GGA-PBE).

Lattice parameters (Å, degrees): 2.951 2.951 8.962 90.00 90.00 90.00
Fractional positions:
Fe 0.000 0.000 0.000
Fe 0.000 0.000 0.346
Fe 0.000 0.000 0.654
Fe 0.500 0.500 0.500
Rh 0.500 0.500 0.172
Rh 0.500 0.500 0.828

## Properties
- magnetization (μB/atom) = 2.24
- theoretical density (g/cm3) = 9.13
- formation energy (eV/atom) = -0.046

---

Entry from the Alexandria database: Li2CuW after structural relaxation (GGA-PBE).

Lattice parameters (Å, degrees): 5.442 5.442 5.442 153.05 128.40 59.17
Fractional positions:
Li 0.000 0.000 0.000
Li 0.748 0.248 0.500
Cu 0.227 0.727 0.500
W 0.470 0.470 0.000

## Properties
- magnetization (μB/atom) = 0.00
- theoretical density (g/cm3) = 7.63
- formation energy (eV/atom) = 0.525
- energy above the most stable polymorph in this dataset (eV/atom) = 0.263

---

Entry from the Alexandria database: Ti2P2Au after structural relaxation (GGA-PBE).

Lattice parameters (Å, degrees): 7.059 7.059 3.226 90.00 90.00 90.00
Fractional positions:
Ti 0.142 0.358 0.000
Ti 0.358 0.858 0.000
Ti 0.642 0.142 0.000
Ti 0.858 0.642 0.000
P 0.147 0.647 0.500
P 0.353 0.147 0.500
P 0.647 0.853 0.500
P 0.853 0.353 0.500
Au 0.000 0.000 0.000
Au 0.500 0.500 0.000

## Properties
- magnetization (μB/atom) = 0.14
- theoretical density (g/cm3) = 7.33
- formation energy (eV/atom) = -0.589
- energy above the most stable polymorph in this dataset (eV/atom) = 0.119